(1)
## NiAs4Cl (PBE-GGA)

Data for an optimized crystal structure of NiAs4Cl.

CIF file:
```
data_NiAs4Cl
_chemical_formula_sum 'Ni4 As16 Cl4'
_symmetry_space_group_name_H-M 'F -4 3 m'
_symmetry_Int_Tables_number 216
_symmetry_space_group_name_Hall 'F -4 2 3'
_cell_length_a 8.048
_cell_length_b 8.048
_cell_length_c 8.048
_cell_angle_alpha 90.00
_cell_angle_beta 90.00
_cell_angle_gamma 90.00
loop_
_atom_site_label
_atom_site_fract_x
_atom_site_fract_y
_atom_site_fract_z
Ni1 0.000 0.000 0.000
As1 0.111 0.111 0.611
Cl1 0.250 0.250 0.250
```

(2)
## CsHoCuSe2 (PBE-GGA)

Data for an optimized crystal structure of CsHoCuSe2.

CIF file:
```
data_CsHoCuSe2
_chemical_formula_sum 'Cs2 Ho2 Cu2 Se4'
_symmetry_space_group_name_H-M 'P 1 2/c 1'
_symmetry_Int_Tables_number 13
_cell_length_a 8.464
_cell_length_b 4.623
_cell_length_c 8.229
_cell_angle_alpha 90.00
_cell_angle_beta 97.28
_cell_angle_gamma 90.00
loop_
_symmetry_equiv_pos_as_xyz
'x,y,z'
'-x,-y,-z'
'-x,y,-z+1/2'
'x,-y,z+1/2'
loop_
_atom_site_label
_atom_site_fract_x
_atom_site_fract_y
_atom_site_fract_z
Cs1 0.000 0.145 0.250
Ho1 0.500 0.495 0.750
Cu1 0.500 0.000 0.000
Se1 0.286 0.344 0.973
```

For reference, formation energy without anion corrections by record: 538 -1014 meV/atom.
For reference, electronic total energy by record: -0.141 -0.159 Ha/atom.